[1]
DFT (PBE) results for a geometry-optimized Ce2AsPd3 structure.

a = 7.2132 Å, b = 8.9740 Å, c = 15.5950 Å
α = 90.00°, β = 90.00°, γ = 90.00°
With the nearest neighbours (Å) after each atom.
Space group Fmmm (No. 69)
Symmetry-distinct sites (fractional):
1 Ce 0.2420 0.0000 0.0000 (multiplicity 8)  10 Pd 3.15-3.20, 2 As 3.19, 1 Ce 3.49
2 Ce 0.2500 0.2500 0.2500 (multiplicity 8)  8 Pd 3.12-3.13, 4 As 3.16
3 As 0.0000 0.0000 0.3337 (multiplicity 8)  3 Pd 2.50-2.52
4 Pd 0.0000 0.0000 0.1723 (multiplicity 8)  1 As 2.52, 2 Pd 2.68
5 Pd 0.0000 0.2413 0.4142 (multiplicity 16)  1 As 2.50, 2 Pd 2.68

* DFT total energy: -6.206 eV/atom



[2]
DFT (PBE) results for a geometry-optimized Ce3As3Pd2 structure.

a = 4.2890 Å, b = 11.0809 Å, c = 14.6295 Å
α = 90.00°, β = 90.00°, γ = 90.00°
With the nearest neighbours (Å) after each atom.
Space group Cmcm (No. 63)
Symmetry-distinct sites (fractional):
1 Ce 0.0000 0.0768 0.1060 (multiplicity 8)  7 As 3.09-3.45, 4 Pd 3.09-3.45
2 Ce 0.0000 0.3576 0.2500 (multiplicity 4)  5 As 2.98-3.22, 4 Pd 3.17
3 As 0.0000 0.3590 0.7500 (multiplicity 4)  2 Pd 2.64
4 As 0.0000 0.3780 0.0468 (multiplicity 8)  3 Pd 2.55-2.78
5 Pd 0.0000 0.2223 0.6022 (multiplicity 8)  4 As 2.55-2.78

* DFT total energy: -6.337 eV/atom



[3]
DFT (PBE) results for a geometry-optimized CeAsPd4 structure.

a = 7.4889 Å, b = 4.1234 Å, c = 7.0217 Å
α = 90.00°, β = 90.00°, γ = 90.00°
With the nearest neighbours (Å) after each atom.
Space group Pmma (No. 51)
Symmetry-distinct sites (fractional):
1 Ce 0.2500 0.0000 0.1417 (multiplicity 2)  1 As 2.87, 8 Pd 2.94-3.14
2 As 0.2500 0.0000 0.7322 (multiplicity 2)  6 Pd 2.48-2.60
3 Pd 0.0000 0.0000 0.5000 (multiplicity 2)  2 As 2.48
4 Pd 0.0495 0.5000 0.8072 (multiplicity 4)  2 As 2.60, 2 Pd 2.81-2.84
5 Pd 0.2500 0.5000 0.4400 (multiplicity 2)  8 Pd 2.82-2.98, 2 As 2.91, 2 Ce 2.94

* relative energy among the computed polymorphs: 0 meV/atom
* DFT total energy: -5.836 eV/atom



[4]
DFT (PBE) results for a geometry-optimized CeAs6Pd12 structure.

a = 11.4542 Å, b = 11.4542 Å, c = 8.9156 Å
α = 90.00°, β = 90.00°, γ = 120.00°
With the nearest neighbours (Å) after each atom.
Space group R-3m (No. 166, hexagonal axes)
Symmetry-distinct sites (fractional):
1 Ce 0.0000 0.0000 0.0000 (multiplicity 3)  6 Pd 3.43, 6 As 3.79
2 As 0.0451 0.5225 0.2751 (multiplicity 18)  7 Pd 2.50-2.71
3 Pd 0.0000 0.3755 0.5000 (multiplicity 18)  4 As 2.50-2.51
4 Pd 0.0857 0.1714 0.3337 (multiplicity 18)  3 As 2.54-2.71

* DFT total energy: -5.429 eV/atom



[5]
DFT (PBE) results for a geometry-optimized Ce2As6Pd21 structure.

a = 12.5317 Å, b = 12.5317 Å, c = 12.5317 Å
α = 90.00°, β = 90.00°, γ = 90.00°
With the nearest neighbours (Å) after each atom.
Space group Fm-3m (No. 225)
Symmetry-distinct sites (fractional):
1 Ce 0.2500 0.2500 0.2500 (multiplicity 8)  4 Pd 2.89
2 As 0.0000 0.0000 0.2385 (multiplicity 24)  8 Pd 2.44-2.57
3 Pd 0.0000 0.0000 0.5000 (multiplicity 4)  12 Pd 3.09, 6 As 3.28
4 Pd 0.0000 0.1742 0.3258 (multiplicity 48)  2 As 2.44, 1 Pd 2.69
5 Pd 0.1171 0.1171 0.1171 (multiplicity 32)  3 As 2.57

* DFT total energy: -5.623 eV/atom



[6]
DFT (PBE) results for a geometry-optimized Ce3As4Pd4 structure.

a = 4.0840 Å, b = 4.3076 Å, c = 25.6600 Å
α = 90.00°, β = 90.00°, γ = 90.00°
With the nearest neighbours (Å) after each atom.
Space group Immm (No. 71)
Symmetry-distinct sites (fractional):
1 Ce 0.0000 0.0000 0.0000 (multiplicity 2)  4 Pd 3.19, 8 As 3.24
2 Ce 0.0000 0.5000 0.1499 (multiplicity 4)  6 As 3.15-3.27, 8 Pd 3.22-3.41
3 As 0.0000 0.0000 0.4497 (multiplicity 4)  2 Pd 2.44, 1 As 2.58
4 As 0.0000 0.5000 0.3086 (multiplicity 4)  5 Pd 2.46-2.58
5 Pd 0.0000 0.0000 0.2531 (multiplicity 4)  4 As 2.58
6 Pd 0.0000 0.5000 0.4047 (multiplicity 4)  3 As 2.44-2.46

* relative energy among the computed polymorphs: 42 meV/atom
* DFT total energy: -6.172 eV/atom



[7]
DFT (PBE) results for a geometry-optimized Ce2As4Pd3 structure.

a = 5.9203 Å, b = 15.1162 Å, c = 7.7385 Å
α = 90.00°, β = 90.00°, γ = 90.00°
With the nearest neighbours (Å) after each atom.
Space group Cmce (No. 64)
Symmetry-distinct sites (fractional):
1 Ce 0.0000 0.1169 0.0751 (multiplicity 8)  8 As 3.11-3.17, 4 Pd 3.24-3.27
2 As 0.0000 0.1827 0.4552 (multiplicity 8)  5 Pd 2.67-2.78
3 As 0.2500 0.0447 0.7500 (multiplicity 8)  3 Pd 2.53-2.57
4 Pd 0.0000 0.0000 0.5000 (multiplicity 4)  6 As 2.53-2.78
5 Pd 0.2500 0.2147 0.7500 (multiplicity 8)  5 As 2.57-2.76

* DFT total energy: -5.980 eV/atom



[8]
DFT (PBE) results for a geometry-optimized CeAs2Pd6 structure.

a = 5.6056 Å, b = 5.6056 Å, c = 6.6140 Å
α = 90.00°, β = 90.00°, γ = 120.00°
With the nearest neighbours (Å) after each atom.
Space group P6/mmm (No. 191)
Symmetry-distinct sites (fractional):
1 Ce 0.0000 0.0000 0.0000 (multiplicity 1)  12 Pd 3.13
2 As 0.3333 0.6667 0.5000 (multiplicity 2)  6 Pd 2.51
3 Pd 0.0000 0.5000 0.2100 (multiplicity 6)  2 As 2.51, 5 Pd 2.78-2.80

* relative energy among the computed polymorphs: 100 meV/atom
* DFT total energy: -5.553 eV/atom



[9]
DFT (PBE) results for a geometry-optimized CeAsPd structure.

a = 7.1393 Å, b = 4.3316 Å, c = 11.9658 Å
α = 90.00°, β = 90.86°, γ = 90.00°
With the nearest neighbours (Å) after each atom.
Space group P2_1/m (No. 11)
Symmetry-distinct sites (fractional):
1 Ce 0.0095 0.2500 0.1983 (multiplicity 2)  5 As 2.93-3.06, 3 Pd 3.11-3.16
2 Ce 0.3306 0.7500 0.5738 (multiplicity 2)  5 As 3.00-3.07, 3 Pd 3.08-3.18
3 Ce 0.4888 0.7500 0.8732 (multiplicity 2)  5 As 3.04-3.09, 5 Pd 3.15-3.28
4 As 0.2240 0.7500 0.0754 (multiplicity 2)  4 Pd 2.63-2.86
5 As 0.2405 0.2500 0.4032 (multiplicity 2)  5 Pd 2.68-2.81, 1 Ce 2.93
6 As 0.2763 0.2500 0.7443 (multiplicity 2)  3 Pd 2.63-2.65
7 Pd 0.0067 0.2500 0.5900 (multiplicity 2)  4 As 2.65-2.81
8 Pd 0.1740 0.2500 0.9544 (multiplicity 2)  4 As 2.63-2.86
9 Pd 0.3583 0.7500 0.2930 (multiplicity 2)  4 As 2.65-2.76

* DFT total energy: -6.331 eV/atom



[10]
DFT (PBE) results for a geometry-optimized Ce2As4Pd structure.

a = 4.0777 Å, b = 4.0777 Å, c = 9.3604 Å
α = 90.00°, β = 90.00°, γ = 90.00°
With the nearest neighbours (Å) after each atom.
Space group P-4m2 (No. 115)
Symmetry-distinct sites (fractional):
1 Ce 0.0000 0.5000 0.2474 (multiplicity 2)  8 As 3.00-3.12, 2 Pd 3.09
2 As 0.0000 0.0000 0.5000 (multiplicity 1)  4 As 2.88, 4 Ce 3.12
3 As 0.0000 0.5000 0.8418 (multiplicity 2)  2 Pd 2.52
4 As 0.5000 0.5000 0.5000 (multiplicity 1)  4 As 2.88, 4 Ce 3.12
5 Pd 0.5000 0.5000 0.0000 (multiplicity 1)  4 As 2.52

* DFT total energy: -6.034 eV/atom



[11]
DFT (PBE) results for a geometry-optimized CeAs2Pd5 structure.

a = 4.1439 Å, b = 7.2819 Å, c = 9.5391 Å
α = 90.00°, β = 90.00°, γ = 90.00°
With the nearest neighbours (Å) after each atom.
Space group Immm (No. 71)
Symmetry-distinct sites (fractional):
1 Ce 0.0000 0.0000 0.0000 (multiplicity 2)  4 As 3.12, 8 Pd 3.37
2 As 0.0000 0.5000 0.2557 (multiplicity 4)  7 Pd 2.42-2.70
3 Pd 0.0000 0.1920 0.3508 (multiplicity 8)  3 As 2.42-2.70
4 Pd 0.0000 0.5000 0.0000 (multiplicity 2)  2 As 2.44

* DFT total energy: -5.761 eV/atom



[12]
DFT (PBE) results for a geometry-optimized CeAs2Pd3 structure.

a = 16.7528 Å, b = 4.1486 Å, c = 10.0525 Å
α = 90.00°, β = 107.82°, γ = 90.00°
With the nearest neighbours (Å) after each atom.
Space group C2/m (No. 12)
Symmetry-distinct sites (fractional):
1 Ce 0.0000 0.0000 0.0000 (multiplicity 2)  6 As 3.15-3.17, 6 Pd 3.21-3.22
2 Ce 0.1567 0.0000 0.7033 (multiplicity 4)  6 As 3.16-3.25, 8 Pd 3.19-3.48
3 As 0.0384 0.5000 0.7912 (multiplicity 4)  4 Pd 2.50-2.76
4 As 0.1368 0.5000 0.4587 (multiplicity 4)  7 Pd 2.44-2.70
5 As 0.1977 0.0000 0.1306 (multiplicity 4)  6 Pd 2.53-2.62
6 Pd 0.0000 0.5000 0.5000 (multiplicity 2)  2 As 2.45
7 Pd 0.0394 0.0000 0.3337 (multiplicity 4)  4 As 2.56-2.70, 3 Pd 2.86-2.87
8 Pd 0.1257 0.5000 0.2058 (multiplicity 4)  4 As 2.49-2.76
9 Pd 0.1803 0.5000 0.9687 (multiplicity 4)  4 As 2.50-2.60
10 Pd 0.2174 0.0000 0.3943 (multiplicity 4)  4 As 2.44-2.66

* relative energy among the computed polymorphs: 0 meV/atom
* DFT total energy: -5.932 eV/atom



no.,energy of formation (kJ per mole of atoms)
1,-82.7
2,-103.3
3,-58.9
4,-35.6
5,-47.4
6,-94.0
7,-83.4
8,-38.5
9,-103.4
10,-90.6
11,-59.0
12,-76.9